DFT (PBE) results for an optimized crystal structure of Zr2WBr.

Values from the calculation:
- E above lowest polymorph (meV/atom) = 1215

a = 5.721 Å, b = 5.721 Å, c = 13.914 Å
α = 90.00°, β = 90.00°, γ = 90.00°
Space group I-42d (No. 122)
Unique sites:
Zr (0.205, 0.250, 0.125) (multiplicity 8)
W (0.000, 0.000, 0.000) (multiplicity 4)
Br (0.000, 0.000, 0.500) (multiplicity 4)



DFT (PBE) results for an optimized crystal structure of Zr2WBr.

Values from the calculation:
- E above lowest polymorph (meV/atom) = 786

a = 3.595 Å, b = 4.310 Å, c = 5.183 Å
α = 90.00°, β = 90.00°, γ = 90.00°
Space group Pmmm (No. 47)
Unique sites:
Zr (0.000, 0.000, 0.000) (multiplicity 1)
Zr (0.500, 0.000, 0.500) (multiplicity 1)
W (0.000, 0.500, 0.500) (multiplicity 1)
Br (0.500, 0.500, 0.000) (multiplicity 1)



DFT (PBE) results for an optimized crystal structure of Zr2W2Br.

Values from the calculation:
- E above lowest polymorph (meV/atom) = 219

a = 8.100 Å, b = 8.100 Å, c = 3.327 Å
α = 90.00°, β = 90.00°, γ = 90.00°
Space group P4/mbm (No. 127)
Unique sites:
Zr (0.189, 0.311, 0.000) (multiplicity 4)
W (0.101, 0.601, 0.500) (multiplicity 4)
Br (0.000, 0.000, 0.000) (multiplicity 2)



Formation energy without anion corrections? In order: 940.9; 511.4; 531.1 meV per atom.
D(E_F)? In order: 4.44; 3.82; 4.69 states/eV/f.u..